1.
# ScCr2Cu GGA-PBE relaxed
data_ScCr2Cu
_symmetry_space_group_name_H-M 'R 3 m'
_symmetry_Int_Tables_number 160
_symmetry_space_group_name_Hall 'R 3 -2"'
_cell_length_a 2.8806
_cell_length_b 2.8806
_cell_length_c 24.5189
_cell_angle_alpha 90.00
_cell_angle_beta 90.00
_cell_angle_gamma 120.00
loop_
_atom_site_label
_atom_site_fract_x
_atom_site_fract_y
_atom_site_fract_z
Sc1 0.0000 0.0000 0.0000
Cr1 0.0000 0.0000 0.4902
Cr2 0.0000 0.0000 0.7603
Cu1 0.0000 0.0000 0.2395
# ΔE to the lowest computed polymorph	250.0	meV per atom
# formation enthalpy at 0 K	0.380	eV per atom
# total energy	-84.5	eV for the cell shown
# magnetic moment	0.0	μB/f.u.
# density of states at the Fermi level	4.229	states/eV/f.u.
# mass density	6.01	g/cm³

=====

2.
# ScCr2Cu GGA-PBE relaxed
data_ScCr2Cu
_symmetry_space_group_name_H-M 'P m m m'
_symmetry_Int_Tables_number 47
_cell_length_a 2.505
_cell_length_b 4.309
_cell_length_c 5.225
_cell_angle_alpha 90.00
_cell_angle_beta 90.00
_cell_angle_gamma 90.00
loop_
_symmetry_equiv_pos_as_xyz
'x,y,z'
'-x,-y,-z'
'-x,-y,z'
'x,y,-z'
'x,-y,-z'
'-x,y,z'
'-x,y,-z'
'x,-y,z'
loop_
_atom_site_label
_atom_site_fract_x
_atom_site_fract_y
_atom_site_fract_z
Sc1 0.000 0.000 0.000
Cr1 0.500 0.500 0.283
Cu1 0.000 0.000 0.500
# ΔE to the lowest computed polymorph	389.0	meV per atom
# formation enthalpy at 0 K	0.519	eV per atom
# total energy	-27.6	eV for the cell shown
# magnetic moment	0.0	μB/f.u.
# density of states at the Fermi level	3.960	states/eV/f.u.
# mass density	6.25	g/cm³

=====

3.
# ScCrCu GGA-PBE relaxed
data_ScCrCu
_symmetry_space_group_name_H-M 'I 4 m m'
_symmetry_Int_Tables_number 107
_symmetry_space_group_name_Hall 'I 4 -2'
_cell_length_a 3.262
_cell_length_b 3.262
_cell_length_c 9.239
_cell_angle_alpha 90.00
_cell_angle_beta 90.00
_cell_angle_gamma 90.00
loop_
_atom_site_label
_atom_site_fract_x
_atom_site_fract_y
_atom_site_fract_z
Sc1 0.000 0.000 0.000
Cr1 0.000 0.000 0.684
Cu1 0.000 0.000 0.324
# ΔE to the lowest computed polymorph	164.8	meV per atom
# formation enthalpy at 0 K	0.187	eV per atom
# total energy	-39.0	eV for the cell shown
# magnetic moment	3.4	μB/f.u.
# density of states at the Fermi level	2.599	states/eV/f.u.
# mass density	5.42	g/cm³

=====

What is the formation enthalpy at 0 K in the third record? 0.187 eV per atom

=====

Please write out number 2 again, unchanged.
# ScCr2Cu GGA-PBE relaxed
data_ScCr2Cu
_symmetry_space_group_name_H-M 'P m m m'
_symmetry_Int_Tables_number 47
_cell_length_a 2.505
_cell_length_b 4.309
_cell_length_c 5.225
_cell_angle_alpha 90.00
_cell_angle_beta 90.00
_cell_angle_gamma 90.00
loop_
_symmetry_equiv_pos_as_xyz
'x,y,z'
'-x,-y,-z'
'-x,-y,z'
'x,y,-z'
'x,-y,-z'
'-x,y,z'
'-x,y,-z'
'x,-y,z'
loop_
_atom_site_label
_atom_site_fract_x
_atom_site_fract_y
_atom_site_fract_z
Sc1 0.000 0.000 0.000
Cr1 0.500 0.500 0.283
Cu1 0.000 0.000 0.500
# ΔE to the lowest computed polymorph	389.0	meV per atom
# formation enthalpy at 0 K	0.519	eV per atom
# total energy	-27.6	eV for the cell shown
# magnetic moment	0.0	μB/f.u.
# density of states at the Fermi level	3.960	states/eV/f.u.
# mass density	6.25	g/cm³

=====

Repeat the first record exactly.
# ScCr2Cu GGA-PBE relaxed
data_ScCr2Cu
_symmetry_space_group_name_H-M 'R 3 m'
_symmetry_Int_Tables_number 160
_symmetry_space_group_name_Hall 'R 3 -2"'
_cell_length_a 2.8806
_cell_length_b 2.8806
_cell_length_c 24.5189
_cell_angle_alpha 90.00
_cell_angle_beta 90.00
_cell_angle_gamma 120.00
loop_
_atom_site_label
_atom_site_fract_x
_atom_site_fract_y
_atom_site_fract_z
Sc1 0.0000 0.0000 0.0000
Cr1 0.0000 0.0000 0.4902
Cr2 0.0000 0.0000 0.7603
Cu1 0.0000 0.0000 0.2395
# ΔE to the lowest computed polymorph	250.0	meV per atom
# formation enthalpy at 0 K	0.380	eV per atom
# total energy	-84.5	eV for the cell shown
# magnetic moment	0.0	μB/f.u.
# density of states at the Fermi level	4.229	states/eV/f.u.
# mass density	6.01	g/cm³